The following is a DFT calculation (PBE with a Hubbard U) of BaMn2IO after structural relaxation.

Results
For the size of the total moment, the calculation gives 9.08 μB per formula unit. Its calculated total energy is -3.89 eV/atom.

Cell: 5.0635 5.0635 7.4549 Å, 90.00 90.00 90.00°
With the nearest neighbours (Å) after each atom.
Sites, in units of the cell vectors:
Ba (0.0000, 0.0000, 0.0000)  4 O 3.58, 2 I 3.73
Mn (0.0000, 0.5000, 0.5000)  2 I 2.53
Mn (0.5000, 0.0000, 0.5000)  2 I 2.53
I (0.0000, 0.0000, 0.5000)  4 Mn 2.53
O (0.5000, 0.5000, 0.0000)  4 Ba 3.58